Entry 1:
A geometry-optimized TiPd3I structure. Source: Alexandria via LeMat-Bulk, functional PBEsol.

Cell and atoms, written as POSCAR:
```
TiPd3I
1.0
-1.419 3.623 2.882
-3.465 1.168 -3.174
-3.070 -2.992 2.251
I Pd Ti
1 3 1
direct
0.000 0.000 0.000
0.000 0.500 0.000
0.000 0.000 0.500
0.500 0.000 0.000
0.500 0.500 0.500
```

Properties
As for the space group: Pm-3m (221).

---

Entry 2:
A geometry-optimized TlPdI2 structure. Source: Alexandria via LeMat-Bulk, functional PBEsol.

Cell and atoms, written as POSCAR:
```
TlPdI2
1.0
-4.063 2.817 2.078
-4.852 -0.216 -2.275
-4.020 -2.530 2.492
I Tl Pd
2 1 1
direct
0.250 0.250 0.250
0.750 0.750 0.750
0.500 0.500 0.500
0.000 0.000 0.000
```

Properties
As for the space group: Fm-3m (225).

---

Entry 3:
A geometry-optimized TlPdI3 structure. Source: Alexandria via LeMat-Bulk, functional PBEsol.

Cell and atoms, written as POSCAR:
```
TlPdI3
1.0
5.447 0.000 0.000
0.000 5.447 0.000
0.000 0.000 5.447
I Tl Pd
3 1 1
direct
0.000 0.500 0.000
0.000 0.000 0.500
0.500 0.000 0.000
0.500 0.500 0.500
0.000 0.000 0.000
```

Properties
As for the space group: Pm-3m (221).

---

Entry 4:
A geometry-optimized Tl2PdI structure. Source: Alexandria via LeMat-Bulk, functional PBEsol.

Cell and atoms, written as POSCAR:
```
Tl2PdI
1.0
-4.297 2.925 1.256
-4.732 -2.380 0.736
-2.104 -0.309 4.907
I Tl Pd
1 2 1
direct
0.500 0.500 0.500
0.250 0.250 0.250
0.750 0.750 0.750
0.000 0.000 0.000
```

Properties
As for the space group: Fm-3m (225).

---

Entry 5:
A geometry-optimized Tl3PdI structure. Source: Alexandria via LeMat-Bulk, functional PBEsol.

Cell and atoms, written as POSCAR:
```
Tl3PdI
1.0
5.313 0.000 0.000
0.000 5.313 0.000
0.000 0.000 5.313
I Tl Pd
1 3 1
direct
0.500 0.500 0.500
0.000 0.500 0.000
0.000 0.000 0.500
0.500 0.000 0.000
0.000 0.000 0.000
```

Properties
As for the space group: Pm-3m (221).

---

Entry 6:
A geometry-optimized PdWI3 structure. Source: Alexandria via LeMat-Bulk, functional PBEsol.

Cell and atoms, written as POSCAR:
```
PdWI3
1.0
-3.995 3.009 1.805
-3.498 -3.628 -1.694
0.274 -2.460 4.706
I Pd W
3 1 1
direct
0.000 0.500 0.000
0.000 0.000 0.500
0.500 0.000 0.000
0.000 0.000 0.000
0.500 0.500 0.500
```

Properties
As for the space group: Pm-3m (221).

---

Entry 7:
A geometry-optimized PdW3I structure. Source: Alexandria via LeMat-Bulk, functional PBEsol.

Cell and atoms, written as POSCAR:
```
PdW3I
1.0
-4.404 1.573 -0.868
-1.441 -4.464 -0.784
-1.075 -0.463 4.610
I Pd W
1 1 3
direct
0.500 0.500 0.500
0.000 0.000 0.000
0.000 0.500 0.000
0.000 0.000 0.500
0.500 0.000 0.000
```

Properties
As for the space group: Pm-3m (221).

---

Entry 8:
A geometry-optimized Pd3WI structure. Source: Alexandria via LeMat-Bulk, functional PBEsol.

Cell and atoms, written as POSCAR:
```
Pd3WI
1.0
4.825 0.000 0.000
0.000 4.825 0.000
0.000 0.000 4.825
I Pd W
1 3 1
direct
0.500 0.500 0.500
0.000 0.500 0.000
0.000 0.000 0.500
0.500 0.000 0.000
0.000 0.000 0.000
```

Properties
As for the space group: Pm-3m (221).

---

Entry 9:
A geometry-optimized YPdI3 structure. Source: Alexandria via LeMat-Bulk, functional PBEsol.

Cell and atoms, written as POSCAR:
```
YPdI3
1.0
-3.069 -1.279 4.205
4.310 0.133 3.186
-0.864 5.205 0.952
I Y Pd
3 1 1
direct
0.000 0.500 0.000
0.000 0.000 0.500
0.500 0.000 0.000
0.500 0.500 0.500
0.000 0.000 0.000
```

Properties
As for the space group: Pm-3m (221).

---

Entry 10:
A geometry-optimized ZrPdI3 structure. Source: Alexandria via LeMat-Bulk, functional PBEsol.

Cell and atoms, written as POSCAR:
```
ZrPdI3
1.0
5.316 0.000 0.000
0.000 5.316 0.000
0.000 0.000 5.316
I Zr Pd
3 1 1
direct
0.000 0.500 0.000
0.000 0.000 0.500
0.500 0.000 0.000
0.500 0.500 0.500
0.000 0.000 0.000
```

Properties
As for the space group: Pm-3m (221).

---

Entry 11:
A geometry-optimized Pr3PtI3 structure. Source: Alexandria via LeMat-Bulk, functional PBEsol.

Cell and atoms, written as POSCAR:
```
Pr3PtI3
1.0
-3.514 7.640 6.637
-5.232 0.685 -9.323
-1.752 -9.618 4.380
Pr Pt I
12 4 12
direct
0.964 0.982 0.232
0.250 0.732 0.268
0.732 0.964 0.482
0.518 0.536 0.268
0.250 0.518 0.482
0.982 0.732 0.464
0.768 0.518 0.036
0.518 0.982 0.750
0.536 0.768 0.018
0.732 0.768 0.750
0.982 0.250 0.018
0.768 0.250 0.232
0.500 0.750 0.500
0.750 0.750 0.250
0.750 0.000 0.000
0.000 0.500 0.250
0.239 0.489 0.978
0.011 0.261 0.522
0.750 0.489 0.511
0.239 0.750 0.761
0.489 0.478 0.739
0.261 0.239 0.250
0.011 0.750 0.989
0.478 0.239 0.989
0.750 0.261 0.739
0.261 0.022 0.511
0.489 0.011 0.250
0.022 0.011 0.761
```

Properties
As for the space group: I4_132 (214).

---

Entry 12:
A geometry-optimized Pr4RuI5 structure. Source: Alexandria via LeMat-Bulk, functional PBEsol.

Cell and atoms, written as POSCAR:
```
Pr4RuI5
1.0
-3.492 2.242 -0.452
-0.310 -2.271 -8.875
-3.286 -8.090 4.543
Pr Ru I
4 1 5
direct
0.355 0.926 0.711
0.645 0.074 0.289
0.001 0.213 0.001
0.999 0.787 0.999
0.500 0.000 0.000
0.500 0.500 0.000
0.174 0.822 0.347
0.826 0.178 0.653
0.829 0.652 0.659
0.171 0.348 0.341
```

Properties
As for the space group: C2/m (12).

---

| no. | DFT total energy (Ry/atom) |
| --- | --- |
| 1 | -0.3499 |
| 2 | -0.2119 |
| 3 | -0.2273 |
| 4 | -0.2249 |
| 5 | -0.2504 |
| 6 | -0.2741 |
| 7 | -0.5367 |
| 8 | -0.4044 |
| 9 | -0.2837 |
| 10 | -0.2748 |
| 11 | -0.3819 |
| 12 | -0.3709 |